# FeCoCu2

A geometry-optimized FeCoCu2 structure (PBE, Alexandria via LeMat-Bulk).

abc: 2.470 2.470 8.171
angles: 90.00 90.00 109.56
Site moments in Bohr magnetons follow the coordinates.
Fractional coordinates of all 4 atoms:
Cu (0.000, 0.000, 0.998)  0.00
Fe (0.000, 0.000, 0.506)  2.62
Cu (0.500, 0.500, 0.251)  0.03
Co (0.500, 0.500, 0.745)  1.74

Summary:
DFT total energy = -23.41 eV per cell
Formation energy from the elements = 8.5 kJ/mol of atoms

# FeCoCu2

A geometry-optimized FeCoCu2 structure (PBE, Alexandria via LeMat-Bulk).

abc: 3.016 3.016 5.194
angles: 90.00 90.00 90.00
Site moments in Bohr magnetons follow the coordinates.
Fractional coordinates of all 4 atoms:
Co (0.500, 0.500, 0.750)  1.52
Fe (0.500, 0.500, 0.250)  2.71
Cu (0.000, 0.000, 0.998)  0.10
Cu (0.000, 0.000, 0.502)  0.10

Summary:
DFT total energy = -22.80 eV per cell
Formation energy from the elements = 23.2 kJ/mol of atoms

# FeCoCu2

A geometry-optimized FeCoCu2 structure (PBE, Alexandria via LeMat-Bulk).

abc: 4.046 4.046 4.046
angles: 60.00 60.00 60.00
Site moments in Bohr magnetons follow the coordinates.
Fractional coordinates of all 4 atoms:
Fe (0.000, 0.000, 0.000)  2.67
Cu (0.250, 0.250, 0.250)  0.10
Co (0.500, 0.500, 0.500)  1.28
Cu (0.750, 0.750, 0.750)  0.10

Summary:
DFT total energy = -22.76 eV per cell
Formation energy from the elements = 24.3 kJ/mol of atoms

# FeCoCu

A geometry-optimized FeCoCu structure (PBE, Alexandria via LeMat-Bulk).

abc: 4.051 4.051 2.444
angles: 90.00 90.00 120.00
Site moments in Bohr magnetons follow the coordinates.
Fractional coordinates of all 3 atoms:
Fe (0.667, 0.333, 0.698)  2.61
Co (0.000, 0.000, 0.965)  1.62
Cu (0.333, 0.667, 0.338)  0.05

Summary:
DFT total energy = -19.38 eV per cell
Formation energy from the elements = 9.3 kJ/mol of atoms

Number 1: spin magnetization 4.32 μB/f.u.. Number 2: spin magnetization 4.28 μB/f.u.. Number 3: spin magnetization 3.98 μB/f.u.. Number 4: spin magnetization 4.19 μB/f.u..